# 1
A geometry-optimized Ba2Ag2RuO6 structure, computed with PBE.

abc: 6.503 6.503 6.373
angles: 94.05 94.05 120.53
Element x y z (fractional)
Ba 0.165 0.835 0.000
Ba 0.835 0.165 0.000
Ag 0.371 0.629 0.500
Ag 0.629 0.371 0.500
Ru 0.500 0.500 0.000
O 0.231 0.231 0.839
O 0.270 0.531 0.176
O 0.469 0.730 0.824
O 0.531 0.270 0.176
O 0.730 0.469 0.824
O 0.769 0.769 0.161

Properties
Total DFT energy (no corrections) (eV/atom): -5.7024
DOS at the Fermi energy (states/eV/cell): 5.7

# 2
A geometry-optimized Tm6CdIn5 structure, computed with PBE.

abc: 6.287 6.287 9.873
angles: 96.12 96.12 120.14
Element x y z (fractional)
Tm 0.083 0.416 0.749
Tm 0.249 0.249 0.249
Tm 0.416 0.083 0.749
Tm 0.584 0.917 0.251
Tm 0.751 0.751 0.751
Tm 0.917 0.584 0.251
Cd 0.000 0.000 0.500
In 0.168 0.832 0.000
In 0.334 0.666 0.500
In 0.500 0.500 0.000
In 0.666 0.334 0.500
In 0.832 0.168 0.000

Properties
Total DFT energy (no corrections) (eV/atom): -3.7392
DOS at the Fermi energy (states/eV/cell): 9.4

# 3
A geometry-optimized Pr2GdMg structure, computed with PBE.

abc: 3.789 3.789 8.997
angles: 90.00 90.00 90.00
Element x y z (fractional)
Pr 0.000 0.000 0.229
Pr 0.000 0.000 0.771
Gd 0.500 0.500 0.500
Mg 0.500 0.500 0.000

Properties
Total DFT energy (no corrections) (eV/atom): -6.3454
DOS at the Fermi energy (states/eV/cell): 4.9

# 4
A geometry-optimized Al2NiAu structure, computed with PBE.

abc: 5.016 5.016 5.016
angles: 47.46 47.46 47.46
Element x y z (fractional)
Al 0.000 0.000 0.000
Al 0.213 0.213 0.213
Ni 0.588 0.588 0.588
Au 0.784 0.784 0.784

Properties
Total DFT energy (no corrections) (eV/atom): -4.4751
DOS at the Fermi energy (states/eV/cell): 2.3

# 5
A geometry-optimized La4TbPm15 structure, computed with PBE.

abc: 5.192 5.192 25.905
angles: 90.00 90.00 90.00
Element x y z (fractional)
La 0.000 0.000 0.100
La 0.000 0.000 0.301
La 0.000 0.000 0.699
La 0.000 0.000 0.900
Tb 0.000 0.000 0.500
Pm 0.000 0.500 0.000
Pm 0.000 0.500 0.201
Pm 0.000 0.500 0.402
Pm 0.000 0.500 0.598
Pm 0.000 0.500 0.799
Pm 0.500 0.000 0.000
Pm 0.500 0.000 0.201
Pm 0.500 0.000 0.402
Pm 0.500 0.000 0.598
Pm 0.500 0.000 0.799
Pm 0.500 0.500 0.100
Pm 0.500 0.500 0.302
Pm 0.500 0.500 0.500
Pm 0.500 0.500 0.698
Pm 0.500 0.500 0.900

Properties
Total DFT energy (no corrections) (eV/atom): -4.7619
DOS at the Fermi energy (states/eV/cell): 31.9

# 6
A geometry-optimized Li2HgBr structure, computed with PBE.

abc: 3.502 3.502 6.704
angles: 90.00 90.00 90.00
Element x y z (fractional)
Li 0.000 0.000 0.249
Li 0.000 0.000 0.751
Hg 0.500 0.500 0.500
Br 0.500 0.500 0.000

Properties
Total DFT energy (no corrections) (eV/atom): -2.1818
DOS at the Fermi energy (states/eV/cell): 0.8

# 7
A geometry-optimized CrGa2Sn2 structure, computed with PBE.

abc: 6.795 6.795 4.343
angles: 90.00 90.00 90.00
Element x y z (fractional)
Cr 0.000 0.000 0.000
Cr 0.500 0.500 0.000
Ga 0.146 0.354 0.000
Ga 0.354 0.854 0.000
Ga 0.646 0.146 0.000
Ga 0.854 0.646 0.000
Sn 0.169 0.669 0.500
Sn 0.331 0.169 0.500
Sn 0.669 0.831 0.500
Sn 0.831 0.331 0.500

Properties
Total DFT energy (no corrections) (eV/atom): -4.2751
DOS at the Fermi energy (states/eV/cell): 10.1

# 8
A geometry-optimized CuNi2SnH structure, computed with PBE.

abc: 3.835 3.835 3.789
angles: 90.00 90.00 90.00
Element x y z (fractional)
Cu 0.000 0.000 0.000
Ni 0.000 0.500 0.500
Ni 0.500 0.000 0.500
Sn 0.500 0.500 0.000
H 0.000 0.000 0.500

Properties
Total DFT energy (no corrections) (eV/atom): -4.6832
DOS at the Fermi energy (states/eV/cell): 2.4

total DFT energy (no corrections) of number 1 (Ba2Ag2RuO6)?
-5.7024 eV/atom